(1)
Material: Y2TeRh
Method: DFT, PBE
State: optimized geometry

The value obtained for the formation energy without anion corrections is -982.0 meV per atom. Its space group is Pm, No. 6.

Unit cell a=4.050 b=4.300 c=5.998 alpha=90.00 beta=109.72 gamma=90.00
Positions (direct):
Y  0.000  0.000  0.000
Y  0.294  0.500  0.588
Te  0.716  0.000  0.433
Rh  0.545  0.500  0.088

(2)
Material: Y2TeRh
Method: DFT, PBE
State: optimized geometry

The value obtained for the formation energy without anion corrections is -832.0 meV per atom. Its space group is Imm2, No. 44.

Unit cell a=6.416 b=6.416 c=6.416 alpha=145.71 beta=139.27 gamma=54.27
Positions (direct):
Y  0.000  0.000  0.000
Y  0.720  0.220  0.500
Te  0.422  0.422  0.000
Rh  0.222  0.722  0.500

(3)
Material: YTeRh4
Method: DFT, PBE
State: optimized geometry

The value obtained for the formation energy without anion corrections is -302.3 meV per atom. Its space group is F-43m, No. 216.

Unit cell a=5.325 b=5.325 c=5.325 alpha=60.00 beta=60.00 gamma=60.00
Positions (direct):
Y  0.000  0.000  0.000
Te  0.250  0.250  0.250
Rh  0.126  0.625  0.625
Rh  0.625  0.126  0.625
Rh  0.625  0.625  0.126
Rh  0.625  0.625  0.625

(4)
Material: Y2TeRh
Method: DFT, PBE
State: optimized geometry

The value obtained for the formation energy without anion corrections is -637.1 meV per atom. Its space group is I-42d, No. 122.

Unit cell a=6.556 b=6.556 c=6.556 alpha=107.84 beta=107.84 gamma=112.78
Positions (direct):
Y  0.085  0.625  0.960
Y  0.375  0.335  0.460
Y  0.665  0.125  0.040
Y  0.875  0.915  0.540
Te  0.250  0.750  0.500
Te  0.500  0.500  0.000
Rh  0.000  0.000  0.000
Rh  0.750  0.250  0.500

(5)
Material: Y2TeRh
Method: DFT, PBE
State: optimized geometry

The value obtained for the formation energy without anion corrections is -914.6 meV per atom. Its space group is P4/mmm, No. 123.

Unit cell a=3.632 b=3.632 c=7.298 alpha=90.00 beta=90.00 gamma=90.00
Positions (direct):
Y  0.000  0.000  0.225
Y  0.000  0.000  0.775
Te  0.500  0.500  0.500
Rh  0.500  0.500  0.000

(6)
Material: Y4TeRh
Method: DFT, PBE
State: optimized geometry

The value obtained for the formation energy without anion corrections is -791.3 meV per atom. As for the distance to the lowest polymorph of the same formula: 0.000 eV per formula unit. Its space group is Pnma, No. 62.

Unit cell a=8.253 b=3.985 c=19.491 alpha=90.00 beta=90.00 gamma=90.00
Positions (direct):
Y  0.006  0.250  0.069
Y  0.040  0.750  0.216
Y  0.139  0.750  0.648
Y  0.142  0.750  0.450
Y  0.358  0.250  0.950
Y  0.361  0.250  0.148
Y  0.460  0.250  0.716
Y  0.494  0.750  0.569
Y  0.506  0.250  0.431
Y  0.540  0.750  0.284
Y  0.639  0.750  0.852
Y  0.642  0.750  0.050
Y  0.858  0.250  0.550
Y  0.861  0.250  0.352
Y  0.960  0.250  0.784
Y  0.994  0.750  0.931
Te  0.242  0.250  0.311
Te  0.258  0.750  0.811
Te  0.742  0.250  0.189
Te  0.758  0.750  0.689
Rh  0.238  0.250  0.548
Rh  0.262  0.750  0.048
Rh  0.738  0.250  0.952
Rh  0.762  0.750  0.452

(7)
Material: ZnTeRh2
Method: DFT, PBE
State: optimized geometry

The value obtained for the formation energy without anion corrections is -152.3 meV per atom. As for the distance to the lowest polymorph of the same formula: 0.193 eV per formula unit. Its space group is Fm-3m, No. 225.

Unit cell a=4.496 b=4.496 c=4.496 alpha=60.00 beta=60.00 gamma=60.00
Positions (direct):
Zn  0.000  0.000  0.000
Te  0.500  0.500  0.500
Rh  0.250  0.250  0.250
Rh  0.750  0.750  0.750

(8)
Material: ZnTeRh3
Method: DFT, PBE
State: optimized geometry

The value obtained for the formation energy without anion corrections is 816.5 meV per atom. As for the distance to the lowest polymorph of the same formula: 0.226 eV per formula unit. Its space group is Pm-3m, No. 221.

Unit cell a=4.811 b=4.811 c=4.811 alpha=90.00 beta=90.00 gamma=90.00
Positions (direct):
Zn  0.000  0.000  0.000
Te  0.500  0.500  0.500
Rh  0.000  0.500  0.500
Rh  0.500  0.000  0.500
Rh  0.500  0.500  0.000